Material: TbV2F8
Method: DFT, PBE+U
State: relaxed

POSCAR file:
```
TbV2F8
1.0
5.0360 -3.6635 0.0000
5.0360 3.6635 0.0000
-0.1767 0.0000 4.2934
Tb V F
1 2 8
Direct
0.0000 0.0000 0.0000
0.3804 0.3804 0.7400
0.6196 0.6196 0.2600
0.1267 0.6705 0.7502
0.1841 0.1841 0.7406
0.3295 0.8733 0.2498
0.4110 0.4110 0.2441
0.5890 0.5890 0.7559
0.6705 0.1267 0.7502
0.8159 0.8159 0.2594
0.8733 0.3295 0.2498
```

D(E_F) = 6.530 states/eV/cell
Calculated volume = 14.40 Å³/atom
Symmetry = C2/m, No. 12
Offset from the most stable computed form = 0 meV/atom